The following is a DFT calculation (GGA+U) of crystalline HgMoPb2O6 at its relaxed geometry.

Computed properties:
D(E_F): 0.00 states/eV/f.u.
SG: P1
magnetic moment: 0.00 μB/f.u.
uncorrected energy: -5.62 eV/atom

Unit cell a=6.0651 b=6.0888 c=6.2632 alpha=90.29 beta=118.90 gamma=119.80
Last column: nearest neighbours and their distance in Å.
Element x y z (fractional)
Hg (0.0000, 0.0000, 0.0000)  3 O 2.20-2.22
Mo (0.1194, 0.5579, 0.6789)  3 O 1.82-1.83
Pb (0.5464, 0.7708, 0.3184)  3 O 2.37
Pb (0.5540, 0.2750, 0.8314)  6 O 2.51-2.60
O (0.0751, 0.3895, 0.9736)  1 Mo 2.18, 1 Hg 2.20, 1 Pb 2.37
O (0.0771, 0.2726, 0.5223)  1 Mo 1.83
O (0.2447, 0.7969, 0.5202)  1 Mo 1.82
O (0.2887, 0.8939, 0.9723)  1 Mo 2.16, 1 Hg 2.22, 1 Pb 2.37
O (0.5824, 0.6797, 0.9717)  1 Mo 2.18, 1 Hg 2.21, 1 Pb 2.37
O (0.7195, 0.4425, 0.5227)  1 Mo 1.83